Compound: Ce5ErSn4
Source: the Alexandria database
Functional: PBE
Structure: optimized geometry

Its magnetization is 9.7 μB/cell. The formation enthalpy at 0 K comes out at -445 meV/atom.

It has space group Pmmn (No. 59, origin choice 2), with a = 10.955 Å, b = 11.952 Å, c = 4.621 Å, α = 90.00°, β = 90.00° and γ = 90.00°. The asymmetric unit holds Ce at (0.062, 0.068, 0.212), Ce at (0.250, 0.750, 0.793), Er at (0.250, 0.250, 0.722), Sn at (0.037, 0.750, 0.287) and Sn at (0.250, 0.001, 0.714).

---

Compound: Ce3ErSn12
Source: the Alexandria database
Functional: PBE
Structure: optimized geometry

Its magnetization is 1.1 μB/cell. The formation enthalpy at 0 K comes out at -503 meV/atom.

It has space group P4/mmm (No. 123), with a = 4.739 Å, b = 4.739 Å, c = 18.621 Å, α = 90.00°, β = 90.00° and γ = 90.00°. The asymmetric unit holds Ce at (0.000, 0.000, 0.000), Ce at (0.000, 0.000, 0.250), Er at (0.000, 0.000, 0.500), Sn at (0.000, 0.500, 0.125), Sn at (0.000, 0.500, 0.377), Sn at (0.500, 0.500, 0.000), Sn at (0.500, 0.500, 0.251) and Sn at (0.500, 0.500, 0.500).